[1]
## SrTlVSe4 (PBE-GGA)

Data for a geometry-optimized SrTlVSe4 structure.

The structure in POSCAR format:
```
SrTlVSe4
1.0
-3.015 2.350 -5.936
4.071 -4.264 -3.755
-4.844 -7.123 2.836
Sr Se Tl V
2 8 2 2
Direct
0.234 0.250 0.547 Sr
0.766 0.750 0.453 Sr
0.006 0.993 0.747 Se
0.994 0.493 0.253 Se
0.994 0.007 0.253 Se
0.381 0.750 0.566 Se
0.406 0.750 0.152 Se
0.619 0.250 0.434 Se
0.594 0.250 0.848 Se
0.006 0.507 0.747 Se
0.737 0.750 0.936 Tl
0.263 0.250 0.064 Tl
0.793 0.250 0.690 V
0.207 0.750 0.310 V
```

The total energy comes out at -4.860 eV per atom. The spin magnetization comes out at 0.00 Bohr magnetons per cell. The calculation puts the formation energy from raw total energies at -0.988 eV per atom. Its space group is P2_1/m (11). The calculation puts the calculated density at 5.118 Mg/m³.

---

[2]
## AgO5 (PBE-GGA)

Data for a geometry-optimized AgO5 structure.

The structure in POSCAR format:
```
AgO5
1.0
-2.990 -0.492 -0.801
2.318 -1.507 -2.433
-0.878 -7.229 9.057
Ag O
1 5
Direct
0.046 0.044 0.024 Ag
0.376 0.636 0.025 O
0.836 0.833 0.408 O
0.296 0.655 0.652 O
0.783 0.554 0.310 O
0.497 0.944 0.748 O
```

The total energy comes out at -4.491 eV per atom. The spin magnetization comes out at 4.14 Bohr magnetons per cell. The calculation puts the formation energy from raw total energies at 0.116 eV per atom. Its space group is P1 (1). The calculation puts the calculated density at 2.662 Mg/m³.

---

[3]
## BH2Se2 (PBE-GGA)

Data for a geometry-optimized BH2Se2 structure.

The structure in POSCAR format:
```
BH2Se2
1.0
-3.611 5.160 3.209
-3.973 -1.129 5.129
6.193 -0.796 2.971
H Se B
4 4 2
Direct
0.741 0.000 0.430 H
0.259 0.000 0.570 H
0.299 0.000 0.483 H
0.701 0.000 0.517 H
0.396 0.718 0.002 Se
0.886 0.718 0.998 Se
0.114 0.282 0.002 Se
0.604 0.282 0.998 Se
0.078 0.843 0.000 B
0.922 0.157 0.000 B
```

The total energy comes out at -4.039 eV per atom. The spin magnetization comes out at 0.00 Bohr magnetons per cell. Its space group is C2/m (12). The calculation puts the calculated density at 2.226 Mg/m³.

---

[4]
## RbBrN2F (PBE-GGA)

Data for a geometry-optimized RbBrN2F structure.

The structure in POSCAR format:
```
RbBrN2F
1.0
-4.445 -4.271 0.199
-0.176 -0.104 -6.164
3.450 -3.592 -0.038
N F Rb Br
2 1 1 1
Direct
0.500 0.000 0.000 N
0.000 0.500 0.000 N
0.000 0.000 0.500 F
0.000 0.000 0.000 Rb
0.500 0.500 0.500 Br
```

The total energy comes out at -2.834 eV per atom. The spin magnetization comes out at 7.00 Bohr magnetons per cell. For the distance to the lowest polymorph of the same formula, the calculation gives 0.560 eV per atom. The calculation puts the formation energy from raw total energies at 1.398 eV per atom. Its space group is P4/mmm (123). The calculation puts the calculated density at 1.862 Mg/m³.

---

[5]
## Mg4Tl (PBE-GGA)

Data for a geometry-optimized Mg4Tl structure.

The structure in POSCAR format:
```
Mg4Tl
1.0
5.393 0.000 0.000
0.000 5.393 0.000
0.000 0.000 5.393
Mg Tl
4 1
Direct
0.500 0.000 0.500 Mg
0.000 0.500 0.500 Mg
0.500 0.500 0.000 Mg
0.000 0.000 0.000 Mg
0.500 0.500 0.500 Tl
```

The total energy comes out at -1.388 eV per atom. The spin magnetization comes out at 0.00 Bohr magnetons per cell. For the distance to the lowest polymorph of the same formula, the calculation gives 0.379 eV per atom. The formation energy from the elements is 1.8 eV per formula unit. Its space group is Pm-3m (221). The calculation puts the calculated density at 3.193 Mg/m³.

---

[6]
## Nb2Te4Mo (PBE-GGA)

Data for a geometry-optimized Nb2Te4Mo structure.

The structure in POSCAR format:
```
Nb2Te4Mo
1.0
3.583 0.000 0.000
0.000 6.845 -0.214
-1.792 -3.544 6.807
Nb Te Mo
2 4 1
Direct
0.744 0.816 0.488 Nb
0.256 0.184 0.512 Nb
0.361 0.691 0.721 Te
0.905 0.246 0.810 Te
0.639 0.309 0.279 Te
0.095 0.754 0.190 Te
0.000 0.000 0.000 Mo
```

The total energy comes out at -6.500 eV per atom. The spin magnetization comes out at 0.00 Bohr magnetons per cell. The calculation puts the formation energy from raw total energies at -0.281 eV per atom. Its space group is C2/m (12). The calculation puts the calculated density at 8.009 Mg/m³.

---

[7]
## CaCuCl2 (PBE-GGA)

Data for a geometry-optimized CaCuCl2 structure.

The structure in POSCAR format:
```
CaCuCl2
1.0
-4.655 -0.863 1.278
-3.494 3.253 -1.121
-3.329 -1.066 -3.438
Ca Cu Cl
1 1 2
Direct
0.000 0.000 0.000 Ca
0.500 0.500 0.500 Cu
0.750 0.750 0.750 Cl
0.250 0.250 0.250 Cl
```

The total energy comes out at -3.392 eV per atom. The spin magnetization comes out at 0.72 Bohr magnetons per cell. For the distance to the lowest polymorph of the same formula, the calculation gives 0.138 eV per atom. The calculation puts the formation energy from raw total energies at -0.944 eV per atom. Its space group is Fm-3m (225). The calculation puts the calculated density at 3.476 Mg/m³.

---

[8]
## PuCl2O2 (PBE-GGA)

Data for a geometry-optimized PuCl2O2 structure.

The structure in POSCAR format:
```
PuCl2O2
1.0
5.834 1.664 -3.283
-1.567 8.852 -3.674
-1.733 -3.498 7.760
Pu Cl O
2 4 4
Direct
0.906 0.133 0.915 Pu
0.094 0.867 0.085 Pu
0.631 0.026 0.401 Cl
0.880 0.472 0.156 Cl
0.369 0.974 0.599 Cl
0.120 0.528 0.844 Cl
0.058 0.135 0.229 O
0.942 0.865 0.771 O
0.256 0.237 0.093 O
0.744 0.763 0.907 O
```

The total energy comes out at -7.335 eV per atom. The spin magnetization comes out at 4.00 Bohr magnetons per cell. The calculation puts the formation energy from raw total energies at -1.746 eV per atom. Its space group is P-1 (2). The calculation puts the calculated density at 3.997 Mg/m³.